[1]
# SeBr

A relaxed SeBr crystal (GGA-PBE, the Alexandria database).

Cell and atoms, written as POSCAR:
```
SeBr
1.0
9.5688 0.0000 0.0000
0.0000 9.5688 0.0000
0.0000 0.0000 9.5688
Se Br
8 8
direct
0.9034 0.0966 0.9034
0.5966 0.4034 0.4034
0.9034 0.9034 0.0966
0.0966 0.9034 0.9034
0.0966 0.0966 0.0966
0.5966 0.5966 0.5966
0.4034 0.4034 0.5966
0.4034 0.5966 0.4034
0.7491 0.2509 0.2509
0.2509 0.2509 0.7491
0.2509 0.7491 0.2509
0.7491 0.7491 0.7491
0.2491 0.7509 0.7509
0.7509 0.7509 0.2491
0.7509 0.2491 0.7509
0.2491 0.2491 0.2491
```

**Uncorrected formation energy**: 0.137 eV/atom

---

[2]
# Ca2N2Cl3

A relaxed Ca2N2Cl3 crystal (GGA-PBE, the Alexandria database).

Cell and atoms, written as POSCAR:
```
Ca2N2Cl3
1.0
2.1497 0.6154 3.3752
1.8548 7.3864 4.7645
0.7805 0.1790 13.9996
Ca Cl N
2 3 2
direct
0.0395 0.2582 0.8573
0.9605 0.7418 0.1427
0.5000 0.0000 0.0000
0.6321 0.4839 0.2148
0.3679 0.5161 0.7852
0.7907 0.9478 0.4293
0.2093 0.0522 0.5707
```

**Uncorrected formation energy**: -1.555 eV/atom

---

[3]
# CuBiAu5

A relaxed CuBiAu5 crystal (GGA-PBE, the Alexandria database).

Cell and atoms, written as POSCAR:
```
CuBiAu5
1.0
4.0606 0.0000 0.0000
0.0000 4.0606 0.0000
0.0000 0.0000 8.6170
Au Cu Bi
5 1 1
direct
0.0000 0.5000 0.2354
0.0000 0.0000 0.0000
0.5000 0.0000 0.7646
0.5000 0.0000 0.2354
0.0000 0.5000 0.7646
0.5000 0.5000 0.0000
0.0000 0.0000 0.5000
```

**Energy of formation from the pure elements**: 28 meV per atom

---

[4]
# AcPr2Sm2Ho2

A relaxed AcPr2Sm2Ho2 crystal (GGA-PBE, the Alexandria database).

Cell and atoms, written as POSCAR:
```
AcPr2Sm2Ho2
1.0
-2.0191 -4.4281 -1.8683
3.7046 3.1155 -4.1150
5.9373 -4.2902 3.7520
Sm Pr Ho Ac
2 2 2 1
direct
0.2859 0.5718 0.8486
0.7141 0.4282 0.1514
0.5745 0.1490 0.7091
0.4255 0.8510 0.2909
0.1430 0.2860 0.4339
0.8570 0.7140 0.5661
0.0000 0.0000 0.0000
```

**Energy of formation from the pure elements**: 34 meV per atom

---

What did the fourth record say?
# AcPr2Sm2Ho2

A relaxed AcPr2Sm2Ho2 crystal (GGA-PBE, the Alexandria database).

Cell and atoms, written as POSCAR:
```
AcPr2Sm2Ho2
1.0
-2.0191 -4.4281 -1.8683
3.7046 3.1155 -4.1150
5.9373 -4.2902 3.7520
Sm Pr Ho Ac
2 2 2 1
direct
0.2859 0.5718 0.8486
0.7141 0.4282 0.1514
0.5745 0.1490 0.7091
0.4255 0.8510 0.2909
0.1430 0.2860 0.4339
0.8570 0.7140 0.5661
0.0000 0.0000 0.0000
```

**Energy of formation from the pure elements**: 34 meV per atom

---

Which formula does entry 1 have? SeBr